# 1
An optimized crystal structure of SmGdIn2Pd4, computed with PBE.

Cell: 4.6274 4.6274 9.0231 Å, 90.00 90.00 120.00°
Fractional coordinates of all 8 atoms:
Sm 0.3333 0.6667 0.5000
Pd 0.0000 0.0000 0.3334
Pd 0.3333 0.6667 0.1630
Pd 0.3333 0.6667 0.8370
Pd 0.0000 0.0000 0.6666
Gd 0.0000 0.0000 0.0000
In 0.6667 0.3333 0.2474
In 0.6667 0.3333 0.7526

Crystal system: hexagonal
Calculated volume (Å³ per cell): 167

=====

# 2
An optimized crystal structure of TbGdIn4Pd2, computed with PBE.

Cell: 7.5871 5.7211 5.7211 Å, 46.11 90.00 90.00°
Fractional coordinates of all 8 atoms:
Gd 0.5000 0.5730 0.5730
Pd 0.5000 0.2880 0.2880
Pd 0.0000 0.7118 0.7118
In 0.2002 0.1377 0.1377
In 0.2992 0.8624 0.8624
In 0.7998 0.1377 0.1377
In 0.7008 0.8624 0.8624
Tb 0.0000 0.4269 0.4269

Crystal system: orthorhombic
Calculated volume (Å³ per cell): 179

=====

# 3
An optimized crystal structure of Gd2TmIn3Pd3, computed with PBE.

Cell: 3.8621 7.6830 7.6830 Å, 119.69 90.00 90.00°
Fractional coordinates of all 9 atoms:
Pd 0.0000 0.9982 0.9982
Pd 0.5000 0.6655 0.3369
Pd 0.5000 0.3369 0.6655
Gd 0.0000 0.4084 0.9995
Gd 0.0000 0.9995 0.4084
In 0.5000 0.2595 0.2595
In 0.5000 0.7414 0.9985
In 0.5000 0.9985 0.7414
Tm 0.0000 0.5920 0.5920

Crystal system: orthorhombic
Calculated volume (Å³ per cell): 198

=====

# 4
An optimized crystal structure of GdYIn2Pd4, computed with PBE.

Cell: 4.6127 4.6127 8.9685 Å, 90.00 90.00 120.00°
Fractional coordinates of all 8 atoms:
In 0.6667 0.3333 0.7510
In 0.6667 0.3333 0.2490
Pd 0.3333 0.6667 0.6642
Pd 0.3333 0.6667 0.3358
Pd 0.0000 0.0000 0.1632
Pd 0.0000 0.0000 0.8368
Y 0.3333 0.6667 0.0000
Gd 0.0000 0.0000 0.5000

Crystal system: hexagonal
Calculated volume (Å³ per cell): 165

=====

# 5
An optimized crystal structure of PrGdIn2, computed with PBE.

Cell: 3.8386 3.8386 7.6937 Å, 90.00 90.00 90.00°
Fractional coordinates of all 4 atoms:
Pr 0.0000 0.0000 0.0000
Gd 0.0000 0.0000 0.5000
In 0.5000 0.5000 0.7387
In 0.5000 0.5000 0.2613

Crystal system: tetragonal
Calculated volume (Å³ per cell): 113

=====

# 6
An optimized crystal structure of PrGdIn2, computed with PBE.

Cell: 4.4113 6.3270 6.3270 Å, 43.14 90.00 90.00°
Fractional coordinates of all 4 atoms:
In 0.0000 0.9163 0.9163
In 0.5000 0.0816 0.0816
Pr 0.0000 0.6406 0.6406
Gd 0.5000 0.3616 0.3616

Crystal system: orthorhombic
Calculated volume (Å³ per cell): 121

=====

no.,energy (eV for the cell shown)
1,-42.0
2,-35.8
3,-44.9
4,-43.9
5,-16.9
6,-16.7